A relaxed structure of BaScAs2Se. Source: the Alexandria database, functional PBE.

The structure in POSCAR format:
```
BaScAs2Se
1.0
5.5487 0.0000 0.0000
0.0000 5.5487 0.0000
0.0000 0.0000 5.8103
Ba Sc As Se
1 1 2 1
direct
0.0000 0.0000 0.0000
0.5000 0.5000 0.5000
0.0000 0.5000 0.0000
0.5000 0.0000 0.0000
0.0000 0.0000 0.5000
```

Properties
The space-group type is P4/mmm, No. 123. The calculation puts the density of states at the Fermi level at 3.00 states/eV/f.u. The value obtained for the formation energy without anion corrections is 0.672 eV per atom.


A relaxed structure of BaScAs2Se. Source: the Alexandria database, functional PBE.

The structure in POSCAR format:
```
BaScAs2Se
1.0
5.1796 0.0000 0.0000
0.0000 5.1796 0.0000
0.0000 0.0000 5.3107
Ba Sc As Se
1 1 2 1
direct
0.0000 0.0000 0.0000
0.5000 0.5000 0.5000
0.0000 0.5000 0.5000
0.5000 0.0000 0.5000
0.5000 0.5000 0.0000
```

Properties
The space-group type is P4/mmm, No. 123. The calculation puts the density of states at the Fermi level at 3.47 states/eV/f.u. The value obtained for the formation energy without anion corrections is -0.905 eV per atom.


A relaxed structure of BaScAsSe2. Source: the Alexandria database, functional PBE.

The structure in POSCAR format:
```
BaScAsSe2
1.0
5.2723 0.0000 0.0000
0.0000 5.2723 0.0000
0.0000 0.0000 5.1650
Ba Sc As Se
1 1 1 2
direct
0.0000 0.0000 0.0000
0.5000 0.5000 0.5000
0.5000 0.5000 0.0000
0.0000 0.5000 0.5000
0.5000 0.0000 0.5000
```

Properties
The space-group type is P4/mmm, No. 123. The calculation puts the density of states at the Fermi level at 4.73 states/eV/f.u. The value obtained for the formation energy without anion corrections is -1.208 eV per atom.


A relaxed structure of Ba2ScAsSe. Source: the Alexandria database, functional PBE.

The structure in POSCAR format:
```
Ba2ScAsSe
1.0
6.1697 0.0000 0.0000
0.0000 6.1697 0.0000
0.0000 0.0000 5.0500
Ba Sc As Se
2 1 1 1
direct
0.0000 0.5000 0.0000
0.5000 0.0000 0.0000
0.0000 0.0000 0.5000
0.5000 0.5000 0.5000
0.0000 0.0000 0.0000
```

Properties
The space-group type is P4/mmm, No. 123. The calculation puts the density of states at the Fermi level at 4.67 states/eV/f.u. The value obtained for the formation energy without anion corrections is -0.659 eV per atom.


A relaxed structure of BaSc2AsSe. Source: the Alexandria database, functional PBE.

The structure in POSCAR format:
```
BaSc2AsSe
1.0
5.0482 0.0000 0.0000
0.0000 5.0482 0.0000
0.0000 0.0000 6.0150
Ba Sc As Se
1 2 1 1
direct
0.0000 0.0000 0.0000
0.0000 0.5000 0.5000
0.5000 0.0000 0.5000
0.5000 0.5000 0.0000
0.5000 0.5000 0.5000
```

Properties
The space-group type is P4/mmm, No. 123. The calculation puts the density of states at the Fermi level at 7.20 states/eV/f.u. The value obtained for the formation energy without anion corrections is -0.359 eV per atom.


A relaxed structure of Ba2ScTaAs. Source: the Alexandria database, functional PBE.

The structure in POSCAR format:
```
Ba2ScTaAs
1.0
6.3972 0.0000 0.0000
0.0000 6.3972 0.0000
0.0000 0.0000 4.9377
Ba Sc Ta As
2 1 1 1
direct
0.0000 0.5000 0.0000
0.5000 0.0000 0.0000
0.0000 0.0000 0.0000
0.5000 0.5000 0.5000
0.0000 0.0000 0.5000
```

Properties
The value obtained for the formation energy is 1.012 eV/atom. The space-group type is P4/mmm, No. 123. The calculation puts the density of states at the Fermi level at 3.59 states/eV/f.u.


A relaxed structure of Ba2ScTeAs. Source: the Alexandria database, functional PBE.

The structure in POSCAR format:
```
Ba2ScTeAs
1.0
6.4889 0.0000 0.0000
0.0000 6.4889 0.0000
0.0000 0.0000 5.6236
Ba Sc Te As
2 1 1 1
direct
0.0000 0.5000 0.0000
0.5000 0.0000 0.0000
0.0000 0.0000 0.5000
0.5000 0.5000 0.0000
0.5000 0.5000 0.5000
```

Properties
The space-group type is P4/mmm, No. 123. The calculation puts the density of states at the Fermi level at 8.14 states/eV/f.u. The value obtained for the formation energy without anion corrections is 0.091 eV per atom.


A relaxed structure of Ba3ScU3As8. Source: the Alexandria database, functional PBE.

The structure in POSCAR format:
```
Ba3ScU3As8
1.0
4.1987 2.4241 7.5344
-4.1987 2.4241 7.5344
0.0000 -4.8482 7.5344
Ba Sc U As
3 1 3 8
direct
0.0000 0.5000 0.5000
0.5000 0.0000 0.5000
0.5000 0.5000 0.0000
0.5000 0.5000 0.5000
0.0000 0.0000 0.5000
0.0000 0.5000 0.0000
0.5000 0.0000 0.0000
0.2278 0.7325 0.7325
0.2341 0.2341 0.2341
0.2675 0.2675 0.7722
0.2675 0.7722 0.2675
0.7325 0.2278 0.7325
0.7325 0.7325 0.2278
0.7659 0.7659 0.7659
0.7722 0.2675 0.2675
```

Properties
The value obtained for the formation energy is -0.818 eV/atom. The space-group type is R-3m, No. 166. The calculation puts the density of states at the Fermi level at 18.11 states/eV/f.u.